(1)
# La2AlSiPt6 (PBE-GGA, relaxed)
# **DOS(E_F)**: 0.387 states/eV per atom
# **Formation energy (no corrections)**: -1051 meV/atom
data_La2AlSiPt6
_cell_length_a 5.621
_cell_length_b 8.762
_cell_length_c 8.209
_cell_angle_alpha 90.00
_cell_angle_beta 90.00
_cell_angle_gamma 90.00
_space_group_name_H-M_alt 'P 1'
_space_group_IT_number 1
loop_
_space_group_symop_operation_xyz
'x,y,z'
loop_
_atom_site_label
_atom_site_fract_x
_atom_site_fract_y
_atom_site_fract_z
_atom_site_occupancy
La1 0.250 0.005 0.225 1
La2 0.250 0.495 0.225 1
La3 0.750 0.505 0.775 1
La4 0.750 0.995 0.775 1
Al1 0.250 0.750 0.768 1
Al2 0.750 0.250 0.232 1
Si1 0.250 0.250 0.743 1
Si2 0.750 0.750 0.257 1
Pt1 0.000 0.250 0.982 1
Pt2 0.000 0.750 0.018 1
Pt3 0.002 0.750 0.505 1
Pt4 0.250 0.001 0.612 1
Pt5 0.250 0.499 0.612 1
Pt6 0.498 0.750 0.505 1
Pt7 0.500 0.250 0.982 1
Pt8 0.500 0.750 0.018 1
Pt9 0.502 0.250 0.495 1
Pt10 0.750 0.501 0.388 1
Pt11 0.750 0.999 0.388 1
Pt12 0.998 0.250 0.495 1



(2)
# La2Al3SnPt4 (PBE-GGA, relaxed)
# **DOS(E_F)**: 0.564 states/eV per atom
# **DFT formation energy**: -1.082 eV per atom
data_La2Al3SnPt4
_cell_length_a 4.409
_cell_length_b 4.409
_cell_length_c 10.534
_cell_angle_alpha 90.00
_cell_angle_beta 90.00
_cell_angle_gamma 90.00
_space_group_name_H-M_alt 'P 1'
_space_group_IT_number 1
loop_
_space_group_symop_operation_xyz
'x,y,z'
loop_
_atom_site_label
_atom_site_fract_x
_atom_site_fract_y
_atom_site_fract_z
_atom_site_occupancy
La1 0.000 0.500 0.246 1
La2 0.500 0.000 0.754 1
Al1 0.000 0.500 0.880 1
Al2 0.500 0.000 0.120 1
Al3 0.500 0.500 0.500 1
Sn1 0.000 0.000 0.500 1
Pt1 0.000 0.000 0.000 1
Pt2 0.000 0.500 0.644 1
Pt3 0.500 0.000 0.356 1
Pt4 0.500 0.500 0.000 1



(3)
# SrLa2AlPt (PBE-GGA, relaxed)
# **DOS(E_F)**: 0.885 states/eV per atom
# **ΔE to the lowest computed polymorph**: 0.000 eV/atom
# **DFT formation energy**: -0.415 eV per atom
data_SrLa2AlPt
_cell_length_a 5.783
_cell_length_b 5.783
_cell_length_c 4.983
_cell_angle_alpha 90.00
_cell_angle_beta 90.00
_cell_angle_gamma 90.00
_space_group_name_H-M_alt 'P 1'
_space_group_IT_number 1
loop_
_space_group_symop_operation_xyz
'x,y,z'
loop_
_atom_site_label
_atom_site_fract_x
_atom_site_fract_y
_atom_site_fract_z
_atom_site_occupancy
Sr1 0.000 0.000 0.000 1
La1 0.000 0.500 0.500 1
La2 0.500 0.000 0.500 1
Al1 0.500 0.500 0.000 1
Pt1 0.500 0.500 0.500 1



(4)
# SrLa2AlPt (PBE-GGA, relaxed)
# **DOS(E_F)**: 1.003 states/eV per atom
# **ΔE to the lowest computed polymorph**: 1.283 eV/atom
# **DFT formation energy**: 0.868 eV per atom
data_SrLa2AlPt
_cell_length_a 5.843
_cell_length_b 5.843
_cell_length_c 5.087
_cell_angle_alpha 90.00
_cell_angle_beta 90.00
_cell_angle_gamma 90.00
_space_group_name_H-M_alt 'P 1'
_space_group_IT_number 1
loop_
_space_group_symop_operation_xyz
'x,y,z'
loop_
_atom_site_label
_atom_site_fract_x
_atom_site_fract_y
_atom_site_fract_z
_atom_site_occupancy
Sr1 0.000 0.000 0.000 1
La1 0.000 0.500 0.000 1
La2 0.500 0.000 0.000 1
Al1 0.500 0.500 0.500 1
Pt1 0.000 0.000 0.500 1